# KCaCl3

Crystalline KCaCl3 at its relaxed geometry (GGA-PBEsol, the Alexandria database).

Results
As for the volume: 27.87 A^3/atom. The space group is Pnma (62). The value obtained for the total DFT energy (no corrections) is -81.9 eV per cell.

```
KCaCl3
1.0
7.5254 0.0000 0.0000
0.0000 10.3152 0.0000
0.0000 0.0000 7.1813
K Ca Cl
4 4 12
Cartesian
0.5284 2.5788 0.1675
3.2343 7.7364 3.7582
4.2911 2.5788 3.4231
6.9969 7.7364 7.0138
0.0000 0.0000 3.5906
0.0000 5.1576 3.5906
3.7627 0.0000 0.0000
3.7627 5.1576 0.0000
0.2352 7.7364 2.8425
1.5132 5.7112 5.7678
1.5132 9.7616 5.7678
2.2495 0.5536 2.1772
2.2495 4.6040 2.1772
3.5275 2.5788 6.4332
3.9979 7.7364 0.7481
5.2759 5.7112 5.0041
5.2759 9.7616 5.0041
6.0122 0.5536 1.4135
6.0122 4.6040 1.4135
7.2902 2.5788 4.3387
```

---

# TaInAu2

Crystalline TaInAu2 at its relaxed geometry (GGA-PBEsol, the Alexandria database).

Results
As for the volume: 18.09 A^3/atom. The space group is Pmmm (47). The formation energy is 144.8 meV/atom.

```
TaInAu2
1.0
3.0783 0.0000 0.0000
0.0000 4.8299 0.0000
0.0000 0.0000 4.8669
Ta In Au
1 1 2
Cartesian
0.0000 0.0000 0.0000
1.5391 0.0000 2.4335
0.0000 2.4149 2.4335
1.5391 2.4149 0.0000
```

---

# TlSbBr3

Crystalline TlSbBr3 at its relaxed geometry (GGA-PBEsol, the Alexandria database).

Results
As for the volume: 34.58 A^3/atom. The space group is Pm-3m (221). The value obtained for the total DFT energy (no corrections) is -12.1 eV per cell.

```
TlSbBr3
1.0
5.5712 0.0000 0.0000
0.0000 5.5712 0.0000
0.0000 0.0000 5.5712
Tl Sb Br
1 1 3
Cartesian
0.0000 0.0000 0.0000
2.7856 2.7856 2.7856
0.0000 0.0000 2.7856
0.0000 2.7856 0.0000
2.7856 0.0000 0.0000
```

---

# MgSbTe2C

Crystalline MgSbTe2C at its relaxed geometry (GGA-PBEsol, the Alexandria database).

Results
As for the volume: 29.65 A^3/atom. The space group is P4/mmm (123). The value obtained for the total DFT energy (no corrections) is -14.0 eV per cell.

```
MgSbTe2C
1.0
5.2981 0.0000 0.0000
0.0000 5.2981 0.0000
0.0000 0.0000 5.2816
Mg Sb Te C
1 1 2 1
Cartesian
0.0000 0.0000 0.0000
0.0000 0.0000 2.6408
0.0000 2.6491 0.0000
2.6491 0.0000 0.0000
2.6491 2.6491 2.6408
```

---

# Mg3GePd

Crystalline Mg3GePd at its relaxed geometry (GGA-PBEsol, the Alexandria database).

Results
As for the volume: 23.31 A^3/atom. The space group is Pm-3m (221). The formation energy is 255.2 meV/atom.

```
Mg3GePd
1.0
4.8850 0.0000 0.0000
0.0000 4.8850 0.0000
0.0000 0.0000 4.8850
Mg Ge Pd
3 1 1
Cartesian
0.0000 0.0000 2.4425
0.0000 2.4425 0.0000
2.4425 0.0000 0.0000
0.0000 0.0000 0.0000
2.4425 2.4425 2.4425
```

---

# SiAg2H

Crystalline SiAg2H at its relaxed geometry (GGA-PBEsol, the Alexandria database).

Results
As for the volume: 13.55 A^3/atom. The space group is Fm-3m (225). The value obtained for the total DFT energy (no corrections) is -13.3 eV per cell.

```
SiAg2H
1.0
0.0000 3.0040 3.0040
3.0040 0.0000 3.0040
3.0040 3.0040 0.0000
Si Ag H
1 2 1
Cartesian
0.0000 0.0000 0.0000
1.5020 1.5020 1.5020
4.5060 4.5060 4.5060
3.0040 3.0040 3.0040
```

---

# ReTe2

Crystalline ReTe2 at its relaxed geometry (GGA-PBEsol, the Alexandria database).

Results
As for the volume: 24.31 A^3/atom. The space group is P-3m1 (164). The value obtained for the total DFT energy (no corrections) is -19.5 eV per cell.

```
ReTe2
1.0
3.7365 0.0000 0.0000
-1.8682 3.2359 0.0000
0.0000 0.0000 6.0318
Re Te
1 2
Cartesian
0.0000 0.0000 0.0000
0.0000 2.1573 4.4298
1.8682 1.0786 1.6020
```

---

# Li2Ti3MnO8

Crystalline Li2Ti3MnO8 at its relaxed geometry (GGA-PBEsol, the Alexandria database).

Results
As for the volume: 10.33 A^3/atom. The space group is P6_3mc (186). The value obtained for the total DFT energy (no corrections) is -234.7 eV per cell.

```
Li2Ti3MnO8
1.0
5.8769 0.0000 0.0000
-2.9384 5.0895 0.0000
0.0000 0.0000 9.6688
Li Ti Mn O
4 6 2 16
Cartesian
0.0000 0.0000 0.0000
0.0000 0.0000 4.8344
0.0000 3.3930 3.8002
2.9384 1.6965 8.6346
0.0000 1.7167 6.9273
-1.4517 4.2312 6.9273
1.4867 0.8584 2.0929
1.4517 4.2312 6.9273
4.3901 0.8584 2.0929
2.9384 3.3728 2.0929
0.0000 3.3930 9.6333
2.9384 1.6965 4.7990
0.0000 0.0000 3.0670
0.0000 0.0000 7.9014
-1.3182 2.6320 8.0311
0.0000 1.6130 1.0297
-1.5415 4.2830 1.0297
1.3969 0.8065 5.8641
0.0000 3.3930 5.8534
1.3182 2.6320 8.0311
0.0000 4.9151 8.0311
2.9384 0.1744 3.1967
1.6203 2.4575 3.1967
2.9384 1.6965 1.0190
1.5415 4.2830 1.0297
4.4800 0.8065 5.8641
2.9384 3.4765 5.8641
4.2566 2.4575 3.1967
```

---

# In2CoSe

Crystalline In2CoSe at its relaxed geometry (GGA-PBEsol, the Alexandria database).

Results
As for the volume: 18.81 A^3/atom. The space group is I-4m2 (119). The value obtained for the total DFT energy (no corrections) is -16.1 eV per cell.

```
In2CoSe
1.0
-2.1065 2.1065 4.2384
2.1065 -2.1065 4.2384
2.1065 2.1065 -4.2384
In Co Se
2 1 1
Cartesian
0.0000 0.0000 0.0000
0.0000 2.1065 2.1192
2.1065 0.0000 2.1192
0.0000 0.0000 4.2384
```

---

# BeOs2Br

Crystalline BeOs2Br at its relaxed geometry (GGA-PBEsol, the Alexandria database).

Results
As for the volume: 13.75 A^3/atom. The space group is R-3m (166). The value obtained for the total DFT energy (no corrections) is -26.9 eV per cell.

```
BeOs2Br
1.0
1.4037 0.8104 8.0581
-1.4037 0.8104 8.0581
0.0000 -1.6208 8.0581
Be Os Br
1 2 1
Cartesian
0.0000 0.0000 0.0000
0.0000 0.0000 6.2321
0.0000 0.0000 17.9423
0.0000 0.0000 12.0872
```

---

# Co2Ir

Crystalline Co2Ir at its relaxed geometry (GGA-PBEsol, the Alexandria database).

Results
As for the volume: 11.70 A^3/atom. The space group is C2/m (12). The formation energy is 33.2 meV/atom.

```
Co2Ir
1.0
4.6330 -1.3008 0.0000
4.6330 1.3008 0.0000
-1.5893 0.0000 5.8261
Co Ir
4 2
Cartesian
-0.2132 0.0000 1.7130
1.8272 0.0000 5.6730
5.8495 0.0000 0.1532
7.8899 0.0000 4.1131
2.2950 0.0000 2.0768
5.3817 0.0000 3.7494
```

---

# SrLiCl2

Crystalline SrLiCl2 at its relaxed geometry (GGA-PBEsol, the Alexandria database).

Results
As for the volume: 21.04 A^3/atom. The space group is Pmmm (47). The value obtained for the total DFT energy (no corrections) is -13.9 eV per cell.

```
SrLiCl2
1.0
3.7008 0.0000 0.0000
0.0000 4.7207 0.0000
0.0000 0.0000 4.8167
Sr Li Cl
1 1 2
Cartesian
0.0000 0.0000 0.0000
0.0000 2.3604 2.4083
1.8504 0.0000 2.4083
1.8504 2.3604 0.0000
```

---

# Ba2MgBr

Crystalline Ba2MgBr at its relaxed geometry (GGA-PBEsol, the Alexandria database).

Results
As for the volume: 38.95 A^3/atom. The space group is Amm2 (38). The value obtained for the total DFT energy (no corrections) is -10.6 eV per cell.

```
Ba2MgBr
1.0
5.7253 0.0000 0.0000
0.0000 2.0414 6.6658
0.0000 -2.0414 6.6658
Ba Mg Br
2 1 1
Cartesian
0.0000 0.0000 0.0000
2.8626 0.0000 3.4112
2.8626 0.0000 6.9369
0.0000 0.0000 9.9445
```

---

# HgTeIr2

Crystalline HgTeIr2 at its relaxed geometry (GGA-PBEsol, the Alexandria database).

Results
As for the volume: 17.36 A^3/atom. The space group is Pmmm (47). The value obtained for the total DFT energy (no corrections) is -21.8 eV per cell.

```
HgTeIr2
1.0
3.1283 0.0000 0.0000
0.0000 3.6353 0.0000
0.0000 0.0000 6.1074
Hg Te Ir
1 1 2
Cartesian
0.0000 0.0000 0.0000
0.0000 0.0000 3.0537
1.5642 1.8177 1.5703
1.5642 1.8177 4.5371
```

---

# TiAs2RuSe

Crystalline TiAs2RuSe at its relaxed geometry (GGA-PBEsol, the Alexandria database).

Results
As for the volume: 21.59 A^3/atom. The space group is P4/mmm (123). The value obtained for the total DFT energy (no corrections) is -29.9 eV per cell.

```
TiAs2RuSe
1.0
4.5635 0.0000 0.0000
0.0000 4.5635 0.0000
0.0000 0.0000 5.1837
Ti As Ru Se
1 2 1 1
Cartesian
0.0000 0.0000 0.0000
0.0000 2.2817 2.5918
2.2817 0.0000 2.5918
2.2817 2.2817 2.5918
2.2817 2.2817 0.0000
```

---

# Tl

Crystalline Tl at its relaxed geometry (GGA-PBEsol, the Alexandria database).

Results
As for the volume: 28.55 A^3/atom. The space group is I-43m (217). The formation energy is 16.5 meV/atom.

```
Tl
1.0
-5.9155 5.9155 5.9155
5.9155 -5.9155 5.9155
5.9155 5.9155 -5.9155
Tl
29
Cartesian
0.0000 0.0000 0.0000
3.7859 3.7859 -3.7859
3.3536 1.0951 -1.0951
3.3536 -1.0951 1.0951
6.4408 1.6496 -1.6496
3.7859 -3.7859 3.7859
6.4408 -1.6496 1.6496
8.4775 1.0951 1.0951
1.0951 3.3536 -1.0951
1.0951 -1.0951 3.3536
5.3903 1.6496 1.6496
4.2659 4.2659 -0.5253
4.2659 -0.5253 4.2659
2.1296 2.1296 2.1296
-1.0951 3.3536 1.0951
-1.0951 1.0951 3.3536
1.6496 6.4408 -1.6496
1.6496 -1.6496 6.4408
1.6496 5.3903 1.6496
1.6496 1.6496 5.3903
4.8204 4.8204 2.5619
4.8204 2.5619 4.8204
-3.7859 3.7859 3.7859
-1.6496 6.4408 1.6496
-1.6496 1.6496 6.4408
-0.5253 4.2659 4.2659
1.0951 8.4775 1.0951
1.0951 1.0951 8.4775
2.5619 4.8204 4.8204
```

---

# CeBeAl3

Crystalline CeBeAl3 at its relaxed geometry (GGA-PBEsol, the Alexandria database).

Results
As for the volume: 17.71 A^3/atom. The space group is I4mm (107). The formation energy is -273.2 meV/atom.

```
CeBeAl3
1.0
-2.0532 2.0532 5.2502
2.0532 -2.0532 5.2502
2.0532 2.0532 -5.2502
Ce Be Al
1 1 3
Cartesian
0.0000 0.0000 0.0000
0.0000 0.0000 6.4934
2.0532 0.0000 2.5130
0.0000 0.0000 4.1899
0.0000 2.0532 2.5130
```

---

# BaCdRu2

Crystalline BaCdRu2 at its relaxed geometry (GGA-PBEsol, the Alexandria database).

Results
As for the volume: 20.82 A^3/atom. The space group is Pmm2 (25). The formation energy is 378.2 meV/atom.

```
BaCdRu2
1.0
2.9557 0.0000 0.0000
0.0000 3.5490 0.0000
0.0000 0.0000 7.9385
Ba Cd Ru
1 1 2
Cartesian
0.0000 0.0000 0.0000
1.4778 1.7745 2.6912
0.0000 0.0000 4.4739
1.4778 1.7745 5.5086
```

---

# NaInP2O

Crystalline NaInP2O at its relaxed geometry (GGA-PBEsol, the Alexandria database).

Results
As for the volume: 21.89 A^3/atom. The space group is P4/mmm (123). The value obtained for the total DFT energy (no corrections) is -19.3 eV per cell.

```
NaInP2O
1.0
5.1482 0.0000 0.0000
0.0000 5.1482 0.0000
0.0000 0.0000 4.1300
Na In P O
1 1 2 1
Cartesian
0.0000 0.0000 0.0000
2.5741 2.5741 2.0650
0.0000 2.5741 2.0650
2.5741 0.0000 2.0650
2.5741 2.5741 0.0000
```

---

# Sc2CrHg

Crystalline Sc2CrHg at its relaxed geometry (GGA-PBEsol, the Alexandria database).

Results
As for the volume: 19.45 A^3/atom. The space group is P4/mmm (123). The formation energy is -31.2 meV/atom.

```
Sc2CrHg
1.0
4.7251 0.0000 0.0000
0.0000 4.7251 0.0000
0.0000 0.0000 3.4841
Sc Cr Hg
2 1 1
Cartesian
0.0000 2.3626 0.0000
2.3626 0.0000 0.0000
0.0000 0.0000 1.7420
2.3626 2.3626 1.7420
```